Compound: AcHoCd4
Source: Alexandria via LeMat-Bulk
Functional: GGA-PBE
Structure: optimized geometry

Offset from the most stable computed form (eV/atom): 0.054

Cell lengths 6.067, 6.067, 6.067 Å; angles 60.00, 60.00, 60.00 degrees
Fractional coordinates of all 6 atoms:
Ac: 0.000 0.000 0.000
Ho: 0.750 0.750 0.750
Cd: 0.376 0.376 0.376
Cd: 0.376 0.376 0.873
Cd: 0.376 0.873 0.376
Cd: 0.873 0.376 0.376


Compound: Ti4HO7
Source: Alexandria via LeMat-Bulk
Functional: GGA-PBE
Structure: optimized geometry

Cell lengths 5.099, 5.099, 9.277 Å; angles 102.40, 102.40, 33.52 degrees
Fractional coordinates of all 12 atoms:
Ti: 0.000 0.000 0.000
Ti: 0.207 0.207 0.731
Ti: 0.510 0.510 0.276
Ti: 0.922 0.922 0.594
H: 0.722 0.722 0.026
O: 0.115 0.115 0.212
O: 0.275 0.275 0.557
O: 0.393 0.393 0.084
O: 0.564 0.564 0.659
O: 0.634 0.634 0.950
O: 0.859 0.859 0.804
O: 0.951 0.951 0.393


Compound: Na2Ce2CuS6
Source: Alexandria via LeMat-Bulk
Functional: GGA-PBE
Structure: optimized geometry

Formation energy without anion corrections (eV per atom): -1.245

Cell lengths 6.909, 6.909, 7.018 Å; angles 98.22, 98.22, 121.61 degrees
Fractional coordinates of all 11 atoms:
Na: 0.160 0.840 0.000
Na: 0.840 0.160 0.000
Ce: 0.335 0.665 0.500
Ce: 0.665 0.335 0.500
Cu: 0.000 0.000 0.500
S: 0.066 0.413 0.725
S: 0.222 0.222 0.305
S: 0.413 0.066 0.725
S: 0.587 0.934 0.275
S: 0.778 0.778 0.695
S: 0.934 0.587 0.275


Compound: LiGdTm2
Source: Alexandria via LeMat-Bulk
Functional: GGA-PBE
Structure: optimized geometry

Offset from the most stable computed form (eV/atom): 0.090

Cell lengths 5.534, 5.534, 3.710 Å; angles 90.00, 90.00, 90.00 degrees
Fractional coordinates of all 4 atoms:
Li: 0.000 0.000 0.000
Gd: 0.500 0.500 0.000
Tm: 0.000 0.500 0.500
Tm: 0.500 0.000 0.500


Compound: Hf2Al2Ga
Source: Alexandria via LeMat-Bulk
Functional: GGA-PBE
Structure: optimized geometry

Offset from the most stable computed form (eV/atom): 0.216

Cell lengths 7.449, 7.449, 3.655 Å; angles 90.00, 90.00, 90.00 degrees
Fractional coordinates of all 10 atoms:
Hf: 0.175 0.325 0.000
Hf: 0.325 0.825 0.000
Hf: 0.675 0.175 0.000
Hf: 0.825 0.675 0.000
Al: 0.123 0.623 0.500
Al: 0.377 0.123 0.500
Al: 0.623 0.877 0.500
Al: 0.877 0.377 0.500
Ga: 0.000 0.000 0.000
Ga: 0.500 0.500 0.000


Compound: TbSiI
Source: Alexandria via LeMat-Bulk
Functional: GGA-PBE
Structure: optimized geometry

Formation energy without anion corrections (eV per atom): -0.915

Cell lengths 12.032, 12.032, 3.858 Å; angles 90.00, 90.00, 159.98 degrees
Fractional coordinates of all 6 atoms:
Tb: 0.072 0.928 0.750
Tb: 0.928 0.072 0.250
Si: 0.470 0.530 0.750
Si: 0.530 0.470 0.250
I: 0.171 0.829 0.250
I: 0.829 0.171 0.750


Compound: Li5In2Hg2Au
Source: Alexandria via LeMat-Bulk
Functional: GGA-PBE
Structure: optimized geometry

Cell lengths 10.875, 10.875, 3.315 Å; angles 90.00, 90.00, 90.00 degrees
Fractional coordinates of all 20 atoms:
Li: 0.000 0.500 0.000
Li: 0.031 0.188 0.000
Li: 0.188 0.969 0.000
Li: 0.312 0.469 0.000
Li: 0.469 0.688 0.000
Li: 0.500 0.000 0.000
Li: 0.531 0.312 0.000
Li: 0.688 0.531 0.000
Li: 0.812 0.031 0.000
Li: 0.969 0.812 0.000
In: 0.167 0.667 0.500
In: 0.333 0.167 0.500
In: 0.667 0.833 0.500
In: 0.833 0.333 0.500
Hg: 0.140 0.360 0.500
Hg: 0.360 0.860 0.500
Hg: 0.640 0.140 0.500
Hg: 0.860 0.640 0.500
Au: 0.000 0.000 0.500
Au: 0.500 0.500 0.500


Compound: Li2TlF
Source: Alexandria via LeMat-Bulk
Functional: GGA-PBE
Structure: optimized geometry

Formation energy without anion corrections (eV per atom): -0.727
Offset from the most stable computed form (eV/atom): 0.714

Cell lengths 4.689, 4.689, 4.689 Å; angles 60.00, 60.00, 60.00 degrees
Fractional coordinates of all 4 atoms:
Li: 0.250 0.250 0.250
Li: 0.750 0.750 0.750
Tl: 0.000 0.000 0.000
F: 0.500 0.500 0.500


Compound: ErAl12Pd6
Source: Alexandria via LeMat-Bulk
Functional: GGA-PBE
Structure: optimized geometry

Cell lengths 7.180, 7.180, 7.180 Å; angles 104.78, 104.78, 104.78 degrees
Fractional coordinates of all 19 atoms:
Er: 0.000 0.000 0.000
Al: 0.115 0.500 0.885
Al: 0.115 0.885 0.500
Al: 0.147 0.397 0.397
Al: 0.397 0.147 0.397
Al: 0.397 0.397 0.147
Al: 0.500 0.115 0.885
Al: 0.500 0.885 0.115
Al: 0.603 0.603 0.853
Al: 0.603 0.853 0.603
Al: 0.853 0.603 0.603
Al: 0.885 0.115 0.500
Al: 0.885 0.500 0.115
Pd: 0.280 0.280 0.708
Pd: 0.280 0.708 0.280
Pd: 0.292 0.720 0.720
Pd: 0.708 0.280 0.280
Pd: 0.720 0.292 0.720
Pd: 0.720 0.720 0.292


Compound: GdHoAlFe
Source: Alexandria via LeMat-Bulk
Functional: GGA-PBE
Structure: optimized geometry

Cell lengths 4.986, 4.986, 4.986 Å; angles 60.00, 60.00, 60.00 degrees
Fractional coordinates of all 4 atoms:
Gd: 0.000 0.000 0.000
Ho: 0.500 0.500 0.500
Al: 0.250 0.250 0.250
Fe: 0.750 0.750 0.750


Compound: Na2ZnSi
Source: Alexandria via LeMat-Bulk
Functional: GGA-PBE
Structure: optimized geometry

Formation energy without anion corrections (eV per atom): 0.304

Cell lengths 4.946, 4.946, 4.946 Å; angles 60.00, 60.00, 60.00 degrees
Fractional coordinates of all 4 atoms:
Na: 0.250 0.250 0.250
Na: 0.750 0.750 0.750
Zn: 0.000 0.000 0.000
Si: 0.500 0.500 0.500


Compound: YCrCu2Ag
Source: Alexandria via LeMat-Bulk
Functional: GGA-PBE
Structure: optimized geometry

Cell lengths 4.607, 4.607, 4.903 Å; angles 90.00, 90.00, 90.00 degrees
Fractional coordinates of all 5 atoms:
Y: 0.000 0.000 0.000
Cr: 0.500 0.500 0.500
Cu: 0.000 0.500 0.500
Cu: 0.500 0.000 0.500
Ag: 0.500 0.500 0.000


| no. | M_tot (μB per formula unit) | E (eV per formula unit) |
| --- | --- | --- |
| 1 | 0.00 | -13.9 |
| 2 | 1.36 | -100.5 |
| 3 | 0.91 | -57.1 |
| 4 | 7.37 | -24.2 |
| 5 | 0.00 | -30.8 |
| 6 | 0.00 | -14.3 |
| 7 | 0.00 | -22.1 |
| 8 | 0.00 | -11.0 |
| 9 | 0.00 | -91.9 |
| 10 | 5.67 | -31.2 |
| 11 | 0.00 | -8.1 |
| 12 | 3.58 | -24.3 |